Here is an optimized crystal structure of YCr2Fe from Alexandria. Energies are from GGA-PBEsol.

Properties
- formation energy (eV per atom) = 0.55
- total magnetic moment (Bohr magnetons per cell) = 0.59
- crystal system = orthorhombic

Lattice parameters (Å, degrees): 3.103 4.164 4.583 90.00 90.00 90.00
Last column: magnetic moment on the atom in μB.
Positions (direct):
Cr (0.000, 0.000, 0.000)  -2.40
Cr (0.500, 0.500, 0.000)  2.24
Fe (0.500, 0.000, 0.500)  0.80
Y (0.000, 0.500, 0.500)  0.00